(1)
Computed, not measured: Pm3PSe6 after structural relaxation at the PBE-GGA level of DFT.

Geometry as extended XYZ:
```
20
Lattice="5.6245 -6.9335 0.0000 5.6245 6.9335 0.0000 0.0000 0.0000 7.4556" Properties=species:S:1:pos:R:3 pbc="T T T"
Pm 5.6245 5.5131 3.7278
Pm 3.5420 1.3550 3.1936
Pm 3.5420 -1.3550 6.9214
Pm 7.7069 1.3550 3.1936
Pm 7.7069 -1.3550 6.9214
Pm 5.6245 -5.5131 0.0000
P 5.6245 2.6481 6.2852
P 5.6245 -2.6481 2.5574
Se 3.7765 3.6008 5.2565
Se 1.8144 0.3478 5.3177
Se 1.8144 -0.3478 1.5899
Se 5.6245 3.0097 2.0905
Se 7.4724 3.6008 5.2565
Se 5.6245 0.4616 5.3085
Se 5.6245 -0.4616 1.5807
Se 3.7765 -3.6008 1.5287
Se 5.6245 -3.0097 5.8183
Se 9.4346 0.3478 5.3177
Se 9.4346 -0.3478 1.5899
Se 7.4724 -3.6008 1.5287
```

Summary:
Total moment = 0.00 μB/f.u.
Formation energy (no corrections) = -1.376 eV/atom
E = -108.654 eV per cell

---

(2)
Computed, not measured: Pm4PSe3 after structural relaxation at the PBE-GGA level of DFT.

Geometry as extended XYZ:
```
8
Lattice="4.2159 -5.9203 0.0000 4.2159 5.9203 0.0000 0.0000 0.0000 4.1560" Properties=species:S:1:pos:R:3 pbc="T T T"
Pm 1.9615 0.0000 2.0780
Pm 4.2159 3.0880 0.0000
Pm 4.2159 -3.0880 0.0000
Pm 6.4704 0.0000 2.0780
P 0.0000 0.0000 0.0000
Se 2.1080 2.9601 2.0780
Se 2.1080 -2.9601 2.0780
Se 4.2159 0.0000 0.0000
```

Summary:
Total moment = 0.00 μB/f.u.
Formation energy (no corrections) = -1.829 eV/atom
Offset from the most stable computed form = 0 meV/atom
E = -49.499 eV per cell

---

(3)
Computed, not measured: Pm4P3Se after structural relaxation at the PBE-GGA level of DFT.

Geometry as extended XYZ:
```
8
Lattice="4.1559 -5.8613 0.0000 4.1559 5.8613 0.0000 0.0000 0.0000 4.1440" Properties=species:S:1:pos:R:3 pbc="T T T"
Pm 1.9914 0.0000 2.0720
Pm 4.1559 2.9828 0.0000
Pm 4.1559 -2.9828 0.0000
Pm 6.3204 0.0000 2.0720
P 0.0000 0.0000 0.0000
P 2.0780 2.9307 2.0720
P 2.0780 -2.9307 2.0720
Se 4.1559 0.0000 0.0000
```

Summary:
Total moment = 0.00 μB/f.u.
Formation energy (no corrections) = -1.699 eV/atom
E = -52.312 eV per cell

---

(4)
Computed, not measured: Pm3P2Se after structural relaxation at the PBE-GGA level of DFT.

Geometry as extended XYZ:
```
6
Lattice="-2.0721 2.9412 6.2411 2.0721 -2.9412 6.2411 2.0721 2.9412 -6.2411" Properties=species:S:1:pos:R:3 pbc="T T T"
Pm 0.0000 0.0000 0.0000
Pm 0.0000 0.0000 4.0450
Pm 0.0000 0.0000 8.4372
P 2.0721 0.0000 2.0572
P 0.0000 2.9412 4.1839
Se 0.0000 2.9412 0.0000
```

Summary:
Total moment = 0.00 μB/f.u.
Formation energy (no corrections) = -1.728 eV/atom
Offset from the most stable computed form = 0 meV/atom
E = -38.927 eV per cell

---

Which formula does entry 3 have?
Pm4P3Se

---

Copy entry 1 word for word.
Computed, not measured: Pm3PSe6 after structural relaxation at the PBE-GGA level of DFT.

Geometry as extended XYZ:
```
20
Lattice="5.6245 -6.9335 0.0000 5.6245 6.9335 0.0000 0.0000 0.0000 7.4556" Properties=species:S:1:pos:R:3 pbc="T T T"
Pm 5.6245 5.5131 3.7278
Pm 3.5420 1.3550 3.1936
Pm 3.5420 -1.3550 6.9214
Pm 7.7069 1.3550 3.1936
Pm 7.7069 -1.3550 6.9214
Pm 5.6245 -5.5131 0.0000
P 5.6245 2.6481 6.2852
P 5.6245 -2.6481 2.5574
Se 3.7765 3.6008 5.2565
Se 1.8144 0.3478 5.3177
Se 1.8144 -0.3478 1.5899
Se 5.6245 3.0097 2.0905
Se 7.4724 3.6008 5.2565
Se 5.6245 0.4616 5.3085
Se 5.6245 -0.4616 1.5807
Se 3.7765 -3.6008 1.5287
Se 5.6245 -3.0097 5.8183
Se 9.4346 0.3478 5.3177
Se 9.4346 -0.3478 1.5899
Se 7.4724 -3.6008 1.5287
```

Summary:
Total moment = 0.00 μB/f.u.
Formation energy (no corrections) = -1.376 eV/atom
E = -108.654 eV per cell

---

Among the records above, which one has the highest E?
Pm3P2Se